P) {
  "formula": "KSn2F8",
  "functional": "PBE",
  "state": "optimized geometry",
  "lattice": [[4.1917, 0.0000, 0.0000], [1.6643, 6.6975, 0.0000], [1.7775, 2.0255, 6.9146]],
  "species": ["K", "Sn", "Sn", "F", "F", "F", "F", "F", "F", "F", "F"],
  "frac_coords": [[0.0000, 0.0000, 0.0000], [0.1425, 0.3968, 0.2985], [0.8575, 0.6032, 0.7015], [0.0378, 0.3140, 0.6073], [0.1844, 0.6101, 0.0430], [0.2929, 0.1267, 0.2306], [0.3718, 0.6094, 0.6628], [0.6282, 0.3906, 0.3372], [0.7071, 0.8733, 0.7694], [0.8156, 0.3899, 0.9570], [0.9622, 0.6860, 0.3927]],
  "sg": "P-1 (2)",
  "n_ef_per_ev_fu": 0.46,
  "crystal_system": "triclinic"
}

---

Q) {
  "formula": "KSn2F8",
  "functional": "PBE",
  "state": "optimized geometry",
  "lattice": [[4.9076, -3.3801, 0.0000], [4.9076, 3.3801, 0.0000], [-0.3560, 0.0000, 5.2294]],
  "species": ["K", "Sn", "Sn", "F", "F", "F", "F", "F", "F", "F", "F"],
  "frac_coords": [[0.0000, 0.0000, 0.0000], [0.3197, 0.3197, 0.5468], [0.6803, 0.6803, 0.4532], [0.0427, 0.6674, 0.6037], [0.2464, 0.2464, 0.8900], [0.3326, 0.9573, 0.3963], [0.4662, 0.4662, 0.2671], [0.5338, 0.5338, 0.7329], [0.6674, 0.0427, 0.6037], [0.7536, 0.7536, 0.1100], [0.9573, 0.3326, 0.3963]],
  "sg": "C2/m (12)",
  "n_ef_per_ev_fu": 1.75,
  "crystal_system": "monoclinic"
}

---

P) has the most favorable energy; the next structure is 1.6 kJ/mol of atoms above.

---

P) {
  "formula": "KSn2F",
  "functional": "PBE",
  "state": "optimized geometry",
  "lattice": [[7.5276, 0.0000, 0.0000], [0.0000, 7.5276, 0.0000], [0.0000, 0.0000, 7.5276]],
  "species": ["K", "K", "K", "K", "Sn", "Sn", "Sn", "Sn", "Sn", "Sn", "Sn", "Sn", "F", "F", "F", "F"],
  "frac_coords": [[0.0000, 0.0000, 0.0000], [0.0000, 0.5000, 0.5000], [0.5000, 0.0000, 0.5000], [0.5000, 0.5000, 0.0000], [0.2500, 0.2500, 0.2500], [0.2500, 0.2500, 0.7500], [0.2500, 0.7500, 0.2500], [0.2500, 0.7500, 0.7500], [0.7500, 0.2500, 0.2500], [0.7500, 0.2500, 0.7500], [0.7500, 0.7500, 0.2500], [0.7500, 0.7500, 0.7500], [0.0000, 0.0000, 0.5000], [0.0000, 0.5000, 0.0000], [0.5000, 0.0000, 0.0000], [0.5000, 0.5000, 0.5000]],
  "sg": "Fm-3m (225)",
  "n_ef_per_ev_fu": 2.84,
  "crystal_system": "cubic"
}

---

Q) {
  "formula": "KSn2F",
  "functional": "PBE",
  "state": "optimized geometry",
  "lattice": [[5.9225, 0.0000, 0.0000], [0.0000, 5.9225, 0.0000], [0.0000, 0.0000, 16.3689]],
  "species": ["K", "K", "K", "K", "Sn", "Sn", "Sn", "Sn", "Sn", "Sn", "Sn", "Sn", "F", "F", "F", "F"],
  "frac_coords": [[0.0000, 0.2500, 0.3750], [0.0000, 0.7500, 0.6250], [0.5000, 0.2500, 0.1250], [0.5000, 0.7500, 0.8750], [0.0000, 0.0000, 0.0000], [0.0000, 0.5000, 0.0000], [0.2500, 0.2500, 0.7500], [0.2500, 0.7500, 0.2500], [0.5000, 0.0000, 0.5000], [0.5000, 0.5000, 0.5000], [0.7500, 0.2500, 0.7500], [0.7500, 0.7500, 0.2500], [0.0000, 0.2500, 0.8750], [0.0000, 0.7500, 0.1250], [0.5000, 0.2500, 0.6250], [0.5000, 0.7500, 0.3750]],
  "sg": "I4_1/amd (141)",
  "n_ef_per_ev_fu": 1.98,
  "crystal_system": "tetragonal"
}

---

Q) has the most favorable energy; the next structure is 44.8 kJ/mol of atoms above.

---

P) {
  "formula": "K2SrF",
  "functional": "PBE",
  "state": "optimized geometry",
  "lattice": [[9.3408, 0.0000, 0.0000], [0.0000, 9.3408, 0.0000], [0.0000, 0.0000, 9.3408]],
  "species": ["K", "K", "K", "K", "K", "K", "K", "K", "Sr", "Sr", "Sr", "Sr", "F", "F", "F", "F"],
  "frac_coords": [[0.2500, 0.2500, 0.2500], [0.2500, 0.2500, 0.7500], [0.2500, 0.7500, 0.2500], [0.2500, 0.7500, 0.7500], [0.7500, 0.2500, 0.2500], [0.7500, 0.2500, 0.7500], [0.7500, 0.7500, 0.2500], [0.7500, 0.7500, 0.7500], [0.0000, 0.0000, 0.0000], [0.0000, 0.5000, 0.5000], [0.5000, 0.0000, 0.5000], [0.5000, 0.5000, 0.0000], [0.0000, 0.0000, 0.5000], [0.0000, 0.5000, 0.0000], [0.5000, 0.0000, 0.0000], [0.5000, 0.5000, 0.5000]],
  "sg": "Fm-3m (225)",
  "n_ef_per_ev_fu": 3.82,
  "crystal_system": "cubic"
}

---

Q) {
  "formula": "K2SrF",
  "functional": "PBE",
  "state": "optimized geometry",
  "lattice": [[8.2100, 0.0000, 0.0000], [0.0000, 8.2100, 0.0000], [0.0000, 0.0000, 11.6427]],
  "species": ["K", "K", "K", "K", "K", "K", "K", "K", "Sr", "Sr", "Sr", "Sr", "F", "F", "F", "F"],
  "frac_coords": [[0.0016, 0.7500, 0.1250], [0.2500, 0.0016, 0.8750], [0.2500, 0.4984, 0.3750], [0.4984, 0.7500, 0.6250], [0.5016, 0.2500, 0.6250], [0.7500, 0.5016, 0.3750], [0.7500, 0.9984, 0.8750], [0.9984, 0.2500, 0.1250], [0.0000, 0.0000, 0.5000], [0.0000, 0.5000, 0.7500], [0.5000, 0.0000, 0.2500], [0.5000, 0.5000, 0.0000], [0.0000, 0.0000, 0.0000], [0.0000, 0.5000, 0.2500], [0.5000, 0.0000, 0.7500], [0.5000, 0.5000, 0.5000]],
  "sg": "I-42d (122)",
  "n_ef_per_ev_fu": 3.05,
  "crystal_system": "tetragonal"
}

---

Q) has the most favorable energy; the next structure is 69.9 kJ/mol of atoms above.

---

P) {
  "formula": "KSr3F",
  "functional": "PBE",
  "state": "optimized geometry",
  "lattice": [[5.9554, 0.0000, 0.0000], [0.0000, 5.9554, 0.0000], [0.0000, 0.0000, 5.9554]],
  "species": ["K", "Sr", "Sr", "Sr", "F"],
  "frac_coords": [[0.0000, 0.0000, 0.0000], [0.0000, 0.5000, 0.5000], [0.5000, 0.0000, 0.5000], [0.5000, 0.5000, 0.0000], [0.5000, 0.5000, 0.5000]],
  "sg": "Pm-3m (221)",
  "n_ef_per_ev_fu": 3.46,
  "crystal_system": "cubic"
}

---

Q) {
  "formula": "KSr3F",
  "functional": "PBE",
  "state": "optimized geometry",
  "lattice": [[7.3425, 0.0000, 0.0000], [0.0000, 7.3425, 0.0000], [0.0000, 0.0000, 7.3425]],
  "species": ["K", "Sr", "Sr", "Sr", "F"],
  "frac_coords": [[0.0000, 0.0000, 0.0000], [0.0000, 0.0000, 0.5000], [0.0000, 0.5000, 0.0000], [0.5000, 0.0000, 0.0000], [0.5000, 0.5000, 0.5000]],
  "sg": "Pm-3m (221)",
  "n_ef_per_ev_fu": 2.49,
  "crystal_system": "cubic"
}

---

P) has the most favorable energy; the next structure is 110.1 kJ/mol of atoms above.